A plane-wave DFT calculation with PBEsol was carried out for a geometry-optimized LiNbZnO4 structure.

Cell: 6.0870 6.0870 8.3705 Å, 90.00 90.00 90.00°
Closest atoms and distances in Å follow each position.
Space group P4_322 (No. 95)
One atom of each set of equivalent atoms:
Li (0.0000, 0.2159, 0.0000) (multiplicity 4)  4 O 2.01-2.13
Nb (0.2125, 0.5000, 0.2500) (multiplicity 4)  4 O 1.89-2.00
Zn (0.2587, 0.2587, 0.6250) (multiplicity 4)  4 O 1.96-1.97
O (0.0144, 0.2608, 0.2519) (multiplicity 8)  1 Nb 1.89, 1 Zn 1.96, 1 Li 2.01
O (0.2656, 0.4816, 0.0144) (multiplicity 8)  1 Zn 1.97, 2 Nb 2.00-2.18

Total energy = -202.56 eV/cell
Total moment = 0.00 μB per cell
Calculated volume = 11.077 Å³ per atom
Uncorrected formation energy = -2182 meV per atom

=====

A plane-wave DFT calculation with PBEsol was carried out for a geometry-optimized Na3Zn structure.

Cell: 6.8215 6.8215 5.3778 Å, 90.00 90.00 120.00°
Closest atoms and distances in Å follow each position.
Space group P6_3/mmc (No. 194)
One atom of each set of equivalent atoms:
Na (0.1747, 0.3495, 0.2500) (multiplicity 6)  8 Na 3.25-3.58, 4 Zn 3.28-3.41
Zn (0.3333, 0.6667, 0.7500) (multiplicity 2)  12 Na 3.28-3.41

Total energy = -10.68 eV/cell
Energy of formation from the pure elements = 110 meV/atom
Total moment = 0.00 μB per cell
Calculated volume = 27.090 Å³ per atom